## Cu3Os4 (PBE-GGA)

Data for a geometry-optimized Cu3Os4 structure. Values from VASP.

```
&SYSTEM
  ibrav = 0, nat = 7, ntyp = 2
/
ATOMIC_SPECIES
Cu 63.55 Cu.upf
Os 190.23 Os.upf
ATOMIC_POSITIONS crystal
Cu 0.000 0.500 0.000
Cu 0.500 0.500 0.000
Cu 0.500 0.000 0.000
Os 0.000 0.000 0.259
Os 0.000 0.000 0.741
Os 0.667 0.333 0.500
Os 0.333 0.667 0.500
CELL_PARAMETERS angstrom
2.311 -4.003 0.000
2.311 4.003 0.000
0.000 0.000 5.002
```

Results
E_form = 0.40 eV/atom
Calculated total energy = -7.775 eV/atom
M_tot = 0.000 μB/f.u.
Symmetry = P6/mmm (191)

## Na4CeO4 (PBE-GGA)

Data for a geometry-optimized Na4CeO4 structure. Values from VASP.

```
&SYSTEM
  ibrav = 0, nat = 9, ntyp = 3
/
ATOMIC_SPECIES
Na 22.99 Na.upf
Ce 140.12 Ce.upf
O 16.00 O.upf
ATOMIC_POSITIONS crystal
Na 0.705 0.409 0.181
Na 0.865 0.873 0.396
Na 0.295 0.591 0.819
Na 0.135 0.127 0.604
Ce 0.500 0.000 0.000
O 0.300 0.122 0.277
O 0.700 0.878 0.723
O 0.926 0.255 0.893
O 0.074 0.745 0.107
CELL_PARAMETERS angstrom
-2.061 -2.518 -1.432
-0.170 -4.589 3.901
-6.441 0.793 3.461
```

Results
Calculated total energy = -5.502 eV/atom
ΔE_f (raw) = -2052 meV per atom
M_tot = 0.019 μB/f.u.
Symmetry = C2/m (12)